(1)
# Pr5Ho5Er (PBE, optimized geometry)
data_Pr5Ho5Er
_symmetry_space_group_name_H-M 'P 1'
_symmetry_Int_Tables_number 1
_symmetry_space_group_name_Hall 'P 1'
_cell_length_a 9.978
_cell_length_b 9.978
_cell_length_c 9.978
_cell_angle_alpha 144.90
_cell_angle_beta 138.51
_cell_angle_gamma 55.44
loop_
_atom_site_label
_atom_site_fract_x
_atom_site_fract_y
_atom_site_fract_z
Pr1 0.000 0.000 0.000
Pr2 0.069 0.325 0.744
Pr3 0.419 0.675 0.744
Pr4 0.581 0.325 0.256
Pr5 0.931 0.675 0.256
Ho1 0.169 0.169 0.000
Ho2 0.379 0.879 0.500
Ho3 0.500 0.500 0.000
Ho4 0.621 0.121 0.500
Ho5 0.831 0.831 0.000
Er1 0.000 0.500 0.500
# **E**: -4.408 eV per atom
# **D(E_F)**: 1.700 states/eV/atom
# **Total magnetic moment**: 0.3 μB/f.u.

(2)
# Pr6HoEr (PBE, optimized geometry)
data_Pr6HoEr
_symmetry_space_group_name_H-M 'P 1'
_symmetry_Int_Tables_number 1
_symmetry_space_group_name_Hall 'P 1'
_cell_length_a 5.179
_cell_length_b 5.179
_cell_length_c 10.358
_cell_angle_alpha 90.00
_cell_angle_beta 90.00
_cell_angle_gamma 90.00
loop_
_atom_site_label
_atom_site_fract_x
_atom_site_fract_y
_atom_site_fract_z
Pr1 0.000 0.000 0.000
Pr2 0.000 0.000 0.500
Pr3 0.000 0.500 0.250
Pr4 0.000 0.500 0.750
Pr5 0.500 0.000 0.250
Pr6 0.500 0.000 0.750
Ho1 0.500 0.500 0.000
Er1 0.500 0.500 0.500
# **E**: -4.713 eV per atom
# **D(E_F)**: 1.614 states/eV/atom
# **Total magnetic moment**: 0.0 μB/f.u.
# **Energy above the lowest structure with this stoichiometry**: 0 meV per atom

(3)
# Pr6HoEr5 (PBE, optimized geometry)
data_Pr6HoEr5
_symmetry_space_group_name_H-M 'P 1'
_symmetry_Int_Tables_number 1
_symmetry_space_group_name_Hall 'P 1'
_cell_length_a 6.280
_cell_length_b 6.280
_cell_length_c 11.815
_cell_angle_alpha 95.07
_cell_angle_beta 95.07
_cell_angle_gamma 119.99
loop_
_atom_site_label
_atom_site_fract_x
_atom_site_fract_y
_atom_site_fract_z
Pr1 0.083 0.417 0.750
Pr2 0.250 0.250 0.250
Pr3 0.417 0.083 0.750
Pr4 0.583 0.917 0.250
Pr5 0.750 0.750 0.750
Pr6 0.917 0.583 0.250
Ho1 0.000 0.000 0.500
Er1 0.167 0.833 0.000
Er2 0.333 0.667 0.500
Er3 0.500 0.500 0.000
Er4 0.667 0.333 0.500
Er5 0.833 0.167 0.000
# **E**: -4.659 eV per atom
# **D(E_F)**: 1.025 states/eV/atom
# **Total magnetic moment**: 0.0 μB/f.u.
# **Energy above the lowest structure with this stoichiometry**: 0 meV per atom

(4)
# PrHoEr2 (PBE, optimized geometry)
data_PrHoEr2
_symmetry_space_group_name_H-M 'P 1'
_symmetry_Int_Tables_number 1
_symmetry_space_group_name_Hall 'P 1'
_cell_length_a 5.679
_cell_length_b 5.679
_cell_length_c 5.679
_cell_angle_alpha 60.00
_cell_angle_beta 60.00
_cell_angle_gamma 60.00
loop_
_atom_site_label
_atom_site_fract_x
_atom_site_fract_y
_atom_site_fract_z
Pr1 0.000 0.000 0.000
Ho1 0.500 0.500 0.500
Er1 0.250 0.250 0.250
Er2 0.750 0.750 0.750
# **E**: -4.499 eV per atom
# **D(E_F)**: 1.713 states/eV/atom
# **Total magnetic moment**: 0.0 μB/f.u.
# **Energy above the lowest structure with this stoichiometry**: 105 meV per atom

> D(E_F) of number 3 (Pr6HoEr5)?

1.025 states/eV/atom